Entry from Alexandria: K3Sm2ThS6 after structural relaxation (GGA-PBE).

Unit cell a=4.1332 b=8.8190 c=9.7319 alpha=108.00 beta=102.26 gamma=90.00
Element x y z (fractional)
K: 0.5000 0.5000 0.0000
K: 0.8315 0.1672 0.6630
K: 0.1685 0.8328 0.3370
Sm: 0.8313 0.6611 0.6626
Sm: 0.1687 0.3389 0.3374
Th: 0.5000 0.0000 0.0000
S: 0.3444 0.8947 0.6887
S: 0.6756 0.5614 0.3511
S: 0.6556 0.1053 0.3113
S: 0.0084 0.2262 0.0168
S: 0.9916 0.7738 0.9832
S: 0.3244 0.4386 0.6489

Results
As for the space group: C2/m, No. 12. The value obtained for the raw formation energy is -1.802 eV/atom. As for the crystal system: monoclinic. The value obtained for the total energy is -5.545 eV per atom.